## CsGa2IrAu (PBE-GGA)

Data for an optimized crystal structure of CsGa2IrAu.

Cell and atoms, written as POSCAR:
```
CsGa2IrAu
1.0
4.8601 0.0000 0.0000
0.0000 4.8601 0.0000
0.0000 0.0000 5.5681
Cs Ir Au Ga
1 1 1 2
Direct
0.5000 0.5000 0.5000
0.0000 0.0000 0.0000
0.0000 0.0000 0.5000
0.0000 0.5000 0.0000
0.5000 0.0000 0.0000
```

Results
Calculated formation energy: -0.2140 eV/atom
Crystal system: tetragonal